First-principles (meta-GGA SCAN) data for a PBEsol-optimized structure of KAlHgCl2, as listed in Alexandria via LeMat-Bulk.

Results
DOS(E_F) in states/eV/f.u.: 0.968
Formation energy from raw total energies in eV/atom: -0.593
Total DFT energy (no corrections) in eV/atom: -20.633

Cell lengths 5.057, 5.057, 6.426 Å; angles 90.00, 90.00, 90.00 degrees
Element x y z (fractional)
K (0.000, 0.000, 0.000)
Al (0.000, 0.000, 0.500)
Hg (0.500, 0.500, 0.000)
Cl (0.000, 0.500, 0.500)
Cl (0.500, 0.000, 0.500)